Density functional theory data (PBE) for a relaxed Dy8Ho4Zr crystal.

Properties
The value obtained for the uncorrected energy is -4.37 eV/atom. The formation energy comes out at 529 meV per atom. The calculation puts the size of the total moment at 0.56 Bohr magnetons per cell.

a b c (Å): 10.8162 10.8162 13.1833
angles (deg): 90.00 90.00 120.00
Space group R-3m (No. 166, hexagonal axes)
Unique sites:
Dy 0.0000 0.0000 0.2449
Dy 0.0059 0.5030 0.7475
Ho 0.0000 0.0000 0.0000
Ho 0.0000 0.5000 0.0000
Zr 0.0000 0.0000 0.5000

***

Density functional theory data (PBE) for a relaxed Dy6Ho3Zr crystal.

Properties
The value obtained for the uncorrected energy is -4.78 eV/atom. The formation energy comes out at 209 meV per atom. The calculation puts the size of the total moment at 0.00 Bohr magnetons per cell.

a b c (Å): 4.883 11.391 11.404
angles (deg): 90.00 90.07 90.00
Space group P2_1/c (No. 14)
Unique sites:
Dy 0.000 0.148 0.148
Dy 0.499 0.000 0.715
Dy 0.500 0.214 0.500
Ho 0.000 0.000 0.500
Ho 0.001 0.647 0.647
Zr 0.500 0.000 0.000

***

Density functional theory data (PBE) for a relaxed DyI2 crystal.

Properties
The value obtained for the uncorrected energy is -3.80 eV/atom. The uncorrected formation energy comes out at -1233 meV per atom. The calculation puts the size of the total moment at 7.77 Bohr magnetons per cell.

a b c (Å): 4.089 7.079 32.980
angles (deg): 90.00 90.00 90.00
Space group C222_1 (No. 20)
Unique sites:
Dy 0.241 0.001 0.124
I 0.241 0.332 0.938
I 0.242 0.332 0.815

***

Density functional theory data (PBE) for a relaxed DyI6 crystal.

Properties
The value obtained for the uncorrected energy is -2.59 eV/atom. The uncorrected formation energy comes out at -602 meV per atom. The calculation puts the size of the total moment at 0.00 Bohr magnetons per cell.

a b c (Å): 9.838 12.480 9.287
angles (deg): 90.00 90.00 90.00
Space group Cmmm (No. 65)
Unique sites:
Dy 0.000 0.000 0.000
I 0.000 0.000 0.313
I 0.230 0.373 0.000

***

Density functional theory data (PBE) for a relaxed DyI crystal.

Properties
The value obtained for the uncorrected energy is -3.93 eV/atom. The uncorrected formation energy comes out at -852 meV per atom. The calculation puts the size of the total moment at 0.00 Bohr magnetons per cell.

a b c (Å): 3.912 3.912 9.516
angles (deg): 90.00 90.18 90.00
Space group P2_1/m (No. 11)
Unique sites:
Dy 0.249 0.250 0.381
I 0.252 0.250 0.798

***

Density functional theory data (PBE) for a relaxed Dy4I crystal.

Properties
The value obtained for the uncorrected energy is -3.81 eV/atom. The uncorrected formation energy comes out at 180 meV per atom. The calculation puts the size of the total moment at 0.00 Bohr magnetons per cell.

a b c (Å): 5.647 5.647 5.647
angles (deg): 90.00 90.00 90.00
Space group Pm-3m (No. 221)
Unique sites:
Dy 0.000 0.000 0.000
Dy 0.000 0.500 0.500
I 0.500 0.500 0.500

***

Density functional theory data (PBE) for a relaxed Dy2InI2 crystal.

Properties
The value obtained for the uncorrected energy is -3.92 eV/atom. The uncorrected formation energy comes out at -913 meV per atom. The calculation puts the size of the total moment at 0.00 Bohr magnetons per cell.

a b c (Å): 4.1251 4.1251 36.5221
angles (deg): 90.00 90.00 120.00
Space group R-3m (No. 166, hexagonal axes)
Unique sites:
Dy 0.0000 0.0000 0.1120
In 0.0000 0.0000 0.5000
I 0.0000 0.0000 0.2763

***

Density functional theory data (PBE) for a relaxed DyIn2I5 crystal.

Properties
The value obtained for the uncorrected energy is -3.14 eV/atom. The uncorrected formation energy comes out at -911 meV per atom. The calculation puts the size of the total moment at 0.00 Bohr magnetons per cell.

a b c (Å): 13.982 9.600 9.350
angles (deg): 90.00 90.00 90.00
Space group Pnma (No. 62)
Unique sites:
Dy 0.005 0.250 0.079
In 0.172 0.000 0.590
I 0.003 0.250 0.423
I 0.065 0.549 0.172
I 0.195 0.250 0.910
I 0.209 0.750 0.855

***

Density functional theory data (PBE) for a relaxed Dy4InI5 crystal.

Properties
The value obtained for the uncorrected energy is -3.86 eV/atom. The uncorrected formation energy comes out at -970 meV per atom. The calculation puts the size of the total moment at 0.00 Bohr magnetons per cell.

a b c (Å): 19.191 4.304 8.913
angles (deg): 90.00 101.84 90.00
Space group C2/m (No. 12)
Unique sites:
Dy 0.001 0.000 0.226
Dy 0.154 0.500 0.075
In 0.000 0.500 0.000
I 0.000 0.500 0.500
I 0.168 0.000 0.332
I 0.173 0.000 0.828

***

Density functional theory data (PBE) for a relaxed Dy3InI7 crystal.

Properties
The value obtained for the uncorrected energy is -3.52 eV/atom. The uncorrected formation energy comes out at -1034 meV per atom. The calculation puts the size of the total moment at 3.03 Bohr magnetons per cell.

a b c (Å): 8.7060 8.7060 7.1864
angles (deg): 90.00 90.00 120.00
Space group P3m1 (No. 156)
Unique sites:
Dy 0.1732 0.3464 0.0000
In 0.3333 0.6667 0.2937
I 0.0000 0.0000 0.7500
I 0.0084 0.5042 0.7432
I 0.3299 0.1649 0.2311

***

Density functional theory data (PBE) for a relaxed DyIn2I8 crystal.

Properties
The value obtained for the uncorrected energy is -2.79 eV/atom. The uncorrected formation energy comes out at -745 meV per atom. The calculation puts the size of the total moment at 0.00 Bohr magnetons per cell.

a b c (Å): 14.119 11.446 7.465
angles (deg): 90.00 100.46 90.00
Space group C2/m (No. 12)
Unique sites:
Dy 0.000 0.000 0.000
In 0.202 0.000 0.663
I 0.085 0.185 0.785
I 0.109 0.500 0.159
I 0.193 0.000 0.268

***

Density functional theory data (PBE) for a relaxed DyInI2 crystal.

Properties
The value obtained for the uncorrected energy is -3.32 eV/atom. The uncorrected formation energy comes out at -706 meV per atom. The calculation puts the size of the total moment at 0.00 Bohr magnetons per cell.

a b c (Å): 3.9220 3.9220 33.7626
angles (deg): 90.00 90.00 120.00
Space group R-3m (No. 166, hexagonal axes)
Unique sites:
Dy 0.0000 0.0000 0.0000
In 0.0000 0.0000 0.5000
I 0.0000 0.0000 0.3953